# 1
This record from Alexandria via LeMat-Bulk describes an optimized crystal structure of DyHfNiAu. The functional is PBE-GGA.

Computed properties:
N(E_F) ... 9.734 states/eV per cell
Crystal system ... cubic
VASP energy ... -6.314 eV/atom

Cell lengths 6.8045, 6.8045, 6.8045 Å; angles 90.00, 90.00, 90.00 degrees
With the nearest neighbours (Å) after each atom.
Space group F-43m (No. 216)
Inequivalent atoms, fractional coordinates:
Dy (0.0000, 0.0000, 0.0000) (multiplicity 4)  4 Ni 2.95, 4 Au 2.95
Hf (0.0000, 0.0000, 0.5000) (multiplicity 4)  4 Ni 2.95, 4 Au 2.95
Ni (0.2500, 0.2500, 0.7500) (multiplicity 4)  4 Hf 2.95, 4 Dy 2.95
Au (0.2500, 0.2500, 0.2500) (multiplicity 4)  4 Hf 2.95, 4 Dy 2.95

# 2
This record from Alexandria via LeMat-Bulk describes an optimized crystal structure of DyHfPdAu. The functional is PBE-GGA.

Computed properties:
N(E_F) ... 8.602 states/eV per cell
Crystal system ... cubic
VASP energy ... -6.383 eV/atom

Cell lengths 6.9119, 6.9119, 6.9119 Å; angles 90.00, 90.00, 90.00 degrees
With the nearest neighbours (Å) after each atom.
Space group F-43m (No. 216)
Inequivalent atoms, fractional coordinates:
Dy (0.0000, 0.0000, 0.0000) (multiplicity 4)  4 Au 2.99, 4 Pd 2.99
Hf (0.0000, 0.0000, 0.5000) (multiplicity 4)  4 Pd 2.99, 4 Au 2.99
Pd (0.2500, 0.2500, 0.2500) (multiplicity 4)  4 Hf 2.99, 4 Dy 2.99
Au (0.2500, 0.2500, 0.7500) (multiplicity 4)  4 Hf 2.99, 4 Dy 2.99

# 3
This record from Alexandria via LeMat-Bulk describes an optimized crystal structure of DyHfPtAu. The functional is PBE-GGA.

Computed properties:
N(E_F) ... 8.566 states/eV per cell
Crystal system ... cubic
VASP energy ... -6.773 eV/atom

Cell lengths 6.8999, 6.8999, 6.8999 Å; angles 90.00, 90.00, 90.00 degrees
With the nearest neighbours (Å) after each atom.
Space group F-43m (No. 216)
Inequivalent atoms, fractional coordinates:
Dy (0.0000, 0.0000, 0.0000) (multiplicity 4)  4 Au 2.99, 4 Pt 2.99
Hf (0.0000, 0.0000, 0.5000) (multiplicity 4)  4 Pt 2.99, 4 Au 2.99
Pt (0.2500, 0.2500, 0.2500) (multiplicity 4)  4 Hf 2.99, 4 Dy 2.99
Au (0.2500, 0.2500, 0.7500) (multiplicity 4)  4 Hf 2.99, 4 Dy 2.99

# 4
This record from Alexandria via LeMat-Bulk describes an optimized crystal structure of DyHfRhAu. The functional is PBE-GGA.

Computed properties:
N(E_F) ... 11.958 states/eV per cell
Crystal system ... cubic
VASP energy ... -6.953 eV/atom

Cell lengths 6.8441, 6.8441, 6.8441 Å; angles 90.00, 90.00, 90.00 degrees
With the nearest neighbours (Å) after each atom.
Space group F-43m (No. 216)
Inequivalent atoms, fractional coordinates:
Dy (0.0000, 0.0000, 0.0000) (multiplicity 4)  4 Rh 2.96, 4 Au 2.96
Hf (0.0000, 0.0000, 0.5000) (multiplicity 4)  4 Rh 2.96, 4 Au 2.96
Rh (0.2500, 0.2500, 0.7500) (multiplicity 4)  4 Hf 2.96, 4 Dy 2.96
Au (0.2500, 0.2500, 0.2500) (multiplicity 4)  4 Hf 2.96, 4 Dy 2.96

- What is the N(E_F) in the first record?
  9.734 states/eV per cell

- VASP energy of number 1 (DyHfNiAu)?
  -6.314 eV/atom